# ErTlZn, relaxed, DFT PBE
data_ErTlZn
_cell_length_a 4.4815
_cell_length_b 4.4815
_cell_length_c 7.0338
_cell_angle_alpha 90.00
_cell_angle_beta 90.00
_cell_angle_gamma 90.00
_symmetry_space_group_name_H-M 'P 1'
_symmetry_Int_Tables_number 1
_symmetry_space_group_name_Hall 'P 1'
loop_
_atom_site_label
_atom_site_type_symbol
_atom_site_fract_x
_atom_site_fract_y
_atom_site_fract_z
Er1 Er 0.2500 0.2500 0.2022
Er2 Er 0.7500 0.7500 0.7978
Tl1 Tl 0.2500 0.2500 0.7611
Tl2 Tl 0.7500 0.7500 0.2389
Zn1 Zn 0.2500 0.7500 0.5000
Zn2 Zn 0.7500 0.2500 0.5000
# * SG: P4/nmm, No. 129
# * energy of formation from the pure elements: -0.740 eV/f.u.
# * size of the total moment: 0.00 μB/cell